CaTb2Pm3Bi6 | PBE | optimized geometry

Results
ΔE_f ... -0.87 eV/atom
Symmetry ... C2/m
DOS at the Fermi energy ... 4.2 states/eV/f.u.
Calculated total energy ... -59.22 eV/cell

Structure (POSCAR):
```
CaTb2Pm3Bi6
1.0
4.554 0.000 0.000
0.000 9.113 0.345
-2.277 -2.604 9.582
Pm Tb Bi Ca
3 2 6 1
Direct
0.165 0.835 0.330
0.500 0.500 0.000
0.835 0.165 0.670
0.167 0.333 0.333
0.833 0.667 0.667
0.332 0.419 0.664
0.998 0.747 0.996
0.668 0.581 0.336
0.668 0.089 0.335
0.332 0.911 0.665
0.002 0.253 0.004
0.500 0.000 0.000
```